[1]
Computed, not measured: a geometry-optimized Er4PO3 structure at the PBE-GGA level of DFT.

Output
total magnetic moment = 0.00 μB/f.u.
crystal system = tetragonal
raw total energy = -7.19 eV per atom

a = 5.038 Å, b = 5.038 Å, c = 9.832 Å
α = 90.00°, β = 90.00°, γ = 90.00°
Space group I4/mmm (No. 139)
Asymmetric unit:
Er: 0.000 0.000 0.238 x4
Er: 0.000 0.500 0.000 x4
P: 0.000 0.000 0.500 x2
O: 0.000 0.000 0.000 x2
O: 0.000 0.500 0.250 x4

[2]
Computed, not measured: a geometry-optimized Er3P2O structure at the PBE-GGA level of DFT.

Output
total magnetic moment = 0.01 μB/f.u.
crystal system = trigonal
raw total energy = -6.86 eV per atom

a = 3.7835 Å, b = 3.7835 Å, c = 9.1532 Å
α = 90.00°, β = 90.00°, γ = 120.00°
Space group P-3m1 (No. 164)
Asymmetric unit:
Er: 0.0000 0.0000 0.0000 x1
Er: 0.3333 0.6667 0.6460 x2
P: 0.3333 0.6667 0.1823 x2
O: 0.0000 0.0000 0.5000 x1

[3]
Computed, not measured: a geometry-optimized ErP3O9 structure at the PBE-GGA level of DFT.

Output
total magnetic moment = 0.00 μB/f.u.
crystal system = monoclinic
raw total energy = -7.56 eV per atom

a = 6.883 Å, b = 9.660 Å, c = 10.734 Å
α = 90.00°, β = 91.24°, γ = 90.00°
Space group Pm (No. 6)
Asymmetric unit:
Er: 0.000 0.000 0.000 x1
Er: 0.146 0.000 0.522 x1
Er: 0.477 0.500 0.450 x1
Er: 0.625 0.500 0.972 x1
P: 0.049 0.242 0.752 x2
P: 0.138 0.500 0.886 x1
P: 0.486 0.000 0.083 x1
P: 0.575 0.258 0.220 x2
P: 0.630 0.000 0.612 x1
P: 0.636 0.285 0.703 x2
P: 0.987 0.215 0.270 x2
P: 0.992 0.500 0.362 x1
O: 0.015 0.378 0.261 x2
O: 0.036 0.159 0.145 x2
O: 0.092 0.160 0.382 x2
O: 0.158 0.500 0.454 x1
O: 0.171 0.376 0.789 x2
O: 0.172 0.163 0.664 x2
O: 0.302 0.500 0.980 x1
O: 0.322 0.000 0.989 x1
O: 0.451 0.335 0.308 x2
O: 0.453 0.125 0.179 x2
O: 0.465 0.000 0.518 x1
O: 0.531 0.340 0.590 x2
O: 0.589 0.341 0.827 x2
O: 0.605 0.122 0.712 x2
O: 0.649 0.332 0.108 x2
O: 0.689 0.000 0.037 x1
O: 0.758 0.194 0.297 x2
O: 0.793 0.500 0.413 x1
O: 0.831 0.000 0.563 x1
O: 0.865 0.304 0.676 x2
O: 0.935 0.500 0.931 x1
O: 0.978 0.170 0.866 x2

[4]
Computed, not measured: a geometry-optimized ErPaPO structure at the PBE-GGA level of DFT.

Output
total magnetic moment = 0.04 μB/f.u.
relative energy among the computed polymorphs = 84.2 meV per atom
crystal system = tetragonal
raw total energy = -7.40 eV per atom

a = 4.177 Å, b = 4.177 Å, c = 8.965 Å
α = 90.00°, β = 90.00°, γ = 90.00°
Space group P4/nmm (No. 129, origin choice 2)
Asymmetric unit:
Er: 0.250 0.250 0.103 x2
Pa: 0.250 0.750 0.500 x2
P: 0.250 0.250 0.719 x2
O: 0.250 0.750 0.000 x2

[5]
Computed, not measured: a geometry-optimized ErPaPO structure at the PBE-GGA level of DFT.

Output
total magnetic moment = 1.13 μB/f.u.
relative energy among the computed polymorphs = 0.0 meV per atom
crystal system = orthorhombic
raw total energy = -7.48 eV per atom

a = 4.110 Å, b = 7.856 Å, c = 5.431 Å
α = 90.00°, β = 90.00°, γ = 90.00°
Space group Pmc2_1 (No. 26)
Asymmetric unit:
Er: 0.000 0.209 0.000 x2
Pa: 0.500 0.374 0.500 x2
P: 0.000 0.140 0.500 x2
O: 0.500 0.327 0.998 x2

[6]
Computed, not measured: a geometry-optimized ErPaPO structure at the PBE-GGA level of DFT.

Output
total magnetic moment = 1.02 μB/f.u.
relative energy among the computed polymorphs = 43.1 meV per atom
crystal system = orthorhombic
raw total energy = -7.44 eV per atom

a = 4.129 Å, b = 7.545 Å, c = 5.806 Å
α = 90.00°, β = 90.00°, γ = 90.00°
Space group Pmc2_1 (No. 26)
Asymmetric unit:
Er: 0.000 0.112 0.000 x2
Pa: 0.500 0.300 0.456 x2
P: 0.500 0.338 0.957 x2
O: 0.000 0.171 0.388 x2

[7]
Computed, not measured: a geometry-optimized ErPaPO structure at the PBE-GGA level of DFT.

Output
total magnetic moment = 1.02 μB/f.u.
relative energy among the computed polymorphs = 18.9 meV per atom
crystal system = tetragonal
raw total energy = -7.46 eV per atom

a = 4.153 Å, b = 4.153 Å, c = 8.890 Å
α = 90.00°, β = 90.00°, γ = 90.00°
Space group P4/nmm (No. 129, origin choice 2)
Asymmetric unit:
Er: 0.250 0.750 0.000 x2
Pa: 0.250 0.250 0.360 x2
P: 0.250 0.250 0.786 x2
O: 0.250 0.750 0.500 x2

[8]
Computed, not measured: a geometry-optimized ErPPdO structure at the PBE-GGA level of DFT.

Output
total magnetic moment = 0.00 μB/f.u.
relative energy among the computed polymorphs = 749.2 meV per atom
crystal system = tetragonal
raw total energy = -6.16 eV per atom

a = 5.569 Å, b = 5.569 Å, c = 4.489 Å
α = 90.00°, β = 90.00°, γ = 90.00°
Space group P4/nmm (No. 129, origin choice 2)
Asymmetric unit:
Er: 0.250 0.750 0.000 x2
P: 0.250 0.250 0.004 x2
Pd: 0.250 0.250 0.504 x2
O: 0.250 0.750 0.500 x2